# LaTb2NdEr4 (GGA-PBE, relaxed)
# - DFT formation energy: 23 meV per atom
# - Volume: 516 Å³ per cell
# - Magnetic moment: 0.00 μB/f.u.
# - Calculated density: 8.2 g cm⁻³
data_LaTb2NdEr4
_chemical_formula_sum 'La2 Tb4 Nd2 Er8'
_cell_length_a 12.3120
_cell_length_b 7.1853
_cell_length_c 12.3208
_cell_angle_alpha 125.68
_cell_angle_beta 131.27
_cell_angle_gamma 90.04
_space_group_name_H-M_alt 'P 1'
_space_group_IT_number 1
_space_group_name_Hall 'P 1'
loop_
_atom_site_label
_atom_site_fract_x
_atom_site_fract_y
_atom_site_fract_z
La1 0.5000 0.5000 0.5001
La2 0.0000 0.0001 0.0000
Tb1 0.5000 0.0000 0.9999
Tb2 0.5000 0.9999 0.5000
Tb3 0.0000 0.0000 0.5001
Tb4 0.5000 0.5001 0.0001
Nd1 0.0000 0.5000 0.0000
Nd2 0.0000 0.4999 0.5000
Er1 0.2516 0.7454 0.9982
Er2 0.7482 0.2421 0.4949
Er3 0.2518 0.7580 0.5051
Er4 0.7485 0.2547 0.0018
Er5 0.7483 0.7487 0.0016
Er6 0.7483 0.7477 0.4949
Er7 0.2516 0.2522 0.5051
Er8 0.2517 0.2512 0.9984